Entry 1:
Density functional theory data (PBE) for crystalline TbHo2IrO8 at its relaxed geometry.

ΔE_f (raw) in eV per atom: -2.3690
D(E_F) in states/eV/f.u.: 5.4
Size of the total moment in Bohr magnetons per cell: 1.6

a = 5.033 Å, b = 5.026 Å, c = 6.774 Å
α = 90.00°, β = 90.00°, γ = 90.41°
Fractional coordinates of all 12 atoms:
1 Tb 0.000 0.000 0.500
2 Ho 0.500 0.500 0.748
3 Ho 0.500 0.500 0.252
4 Ir 0.000 0.000 0.000
5 O 0.184 0.815 0.210
6 O 0.730 0.731 0.000
7 O 0.816 0.185 0.210
8 O 0.816 0.185 0.790
9 O 0.270 0.269 0.000
10 O 0.184 0.815 0.790
11 O 0.690 0.691 0.500
12 O 0.310 0.309 0.500

Entry 2:
Density functional theory data (PBE) for crystalline Nd6Te3PtSe2 at its relaxed geometry.

ΔE_f (raw) in eV per atom: -1.5399
D(E_F) in states/eV/f.u.: 4.8
Size of the total moment in Bohr magnetons per cell: 0.0

a = 7.543 Å, b = 7.543 Å, c = 7.660 Å
α = 99.51°, β = 99.51°, γ = 119.92°
Fractional coordinates of all 12 atoms:
1 Nd 0.927 0.603 0.777
2 Nd 0.752 0.752 0.228
3 Nd 0.073 0.397 0.223
4 Nd 0.603 0.927 0.777
5 Nd 0.248 0.248 0.772
6 Nd 0.397 0.073 0.223
7 Te 0.172 0.828 0.500
8 Te 0.828 0.172 0.500
9 Te 0.500 0.500 0.500
10 Pt 0.000 0.000 0.000
11 Se 0.335 0.665 0.000
12 Se 0.665 0.335 0.000